# NiSb2Rh4

NiSb2Rh4 after structural relaxation (PBE, the Alexandria database).

```
14
Lattice="8.183 0.000 0.000 0.000 4.697 -3.129 0.000 -0.878 6.725" Properties=species:S:1:pos:R:3 pbc="T T T"
Ni 0.000 0.000 0.000
Ni 4.091 2.348 -1.565
Sb 7.936 2.598 0.204
Sb 0.247 1.220 3.392
Sb 3.845 3.569 1.827
Sb 4.338 0.250 1.769
Rh 6.411 3.305 -1.803
Rh 6.180 2.307 2.185
Rh 6.094 -0.041 3.750
Rh 5.863 0.957 -0.238
Rh 2.320 2.862 3.834
Rh 2.089 3.860 -0.154
Rh 2.002 1.512 1.411
Rh 1.772 0.513 5.399
```

Values from the calculation:
* final energy: -6.29 eV per atom
* total moment: 0.00 μB per formula unit